Computed, not measured: Nd2ErZn3InGa2 after structural relaxation at the PBE level of DFT.

Summary:
- DFT total energy: -3.45 eV/atom

Lattice parameters (Å, degrees): 4.4496 7.1573 7.1573 119.51 90.00 90.00
Last column: nearest neighbours and their distance in Å.
Sites, in units of the cell vectors:
Ga  0.5000  0.3394  0.6637  3 Zn 2.68-2.78
Ga  0.5000  0.6637  0.3394  3 Zn 2.68-2.78
Er  0.0000  0.5597  0.5597  4 Ga 3.02, 1 In 3.12, 2 Zn 3.13
Zn  0.5000  0.2548  0.2548  2 Ga 2.68, 2 In 2.92
Zn  0.5000  0.7476  0.9989  2 Ga 2.72-2.78, 2 In 2.85
Zn  0.5000  0.9989  0.7476  2 Ga 2.72-2.78, 2 In 2.85
In  0.0000  0.9929  0.9929  6 Zn 2.85-2.92, 1 Er 3.12, 2 Nd 3.18
Nd  0.0000  0.0019  0.4410  4 Ga 3.09-3.10, 2 Zn 3.13, 1 In 3.18
Nd  0.0000  0.4410  0.0019  4 Ga 3.09-3.10, 2 Zn 3.13, 1 In 3.18